## RbHo2CuSeS3 (GGA-PBE)

Data for a relaxed structure of RbHo2CuSeS3.

Summary:
Crystal system: orthorhombic
Final energy, hartree per atom: -0.1955

Cell: 7.2081 7.2081 13.9480 Å, 90.00 90.00 147.78°
With the nearest neighbours (Å) after each atom.
Fractional coordinates of all 16 atoms:
Rb 0.1152 0.8848 0.7500  2 Se 3.25, 4 S 3.33, 2 Cu 3.57
Rb 0.8848 0.1152 0.2500  2 Se 3.25, 4 S 3.33, 2 Cu 3.57
Ho 0.3659 0.6341 0.5586  5 S 2.72-2.85, 1 Se 2.82
Ho 0.3659 0.6341 0.9414  5 S 2.72-2.85, 1 Se 2.82
Ho 0.6341 0.3659 0.0586  5 S 2.72-2.85, 1 Se 2.82
Ho 0.6341 0.3659 0.4414  5 S 2.72-2.85, 1 Se 2.82
Cu 0.1713 0.8287 0.2500  2 S 2.33, 2 Se 2.45
Cu 0.8287 0.1713 0.7500  2 S 2.33, 2 Se 2.45
Se 0.4305 0.5695 0.7500  2 Cu 2.45
Se 0.5695 0.4305 0.2500  2 Cu 2.45
S 0.0000 0.0000 0.0000  4 Ho 2.85
S 0.0000 0.0000 0.5000  4 Ho 2.85
S 0.2578 0.7422 0.1064  1 Cu 2.33
S 0.2578 0.7422 0.3936  1 Cu 2.33
S 0.7422 0.2578 0.6064  1 Cu 2.33
S 0.7422 0.2578 0.8936  1 Cu 2.33

***

## RbHo2CuTeS3 (GGA-PBE)

Data for a relaxed structure of RbHo2CuTeS3.

Summary:
Crystal system: orthorhombic
Final energy, hartree per atom: -0.1895

Cell: 7.3250 7.3250 14.1824 Å, 90.00 90.00 147.72°
With the nearest neighbours (Å) after each atom.
Fractional coordinates of all 16 atoms:
Rb 0.1335 0.8665 0.7500  4 S 3.32, 2 Te 3.38, 2 Cu 3.44
Rb 0.8665 0.1335 0.2500  4 S 3.32, 2 Te 3.38, 2 Cu 3.44
Ho 0.3663 0.6337 0.5514  5 S 2.73-2.87, 1 Te 3.01
Ho 0.3663 0.6337 0.9486  5 S 2.73-2.87, 1 Te 3.01
Ho 0.6337 0.3663 0.0514  5 S 2.73-2.87, 1 Te 3.01
Ho 0.6337 0.3663 0.4486  5 S 2.73-2.87, 1 Te 3.01
Cu 0.1692 0.8308 0.2500  2 S 2.37, 2 Te 2.57
Cu 0.8308 0.1692 0.7500  2 S 2.37, 2 Te 2.57
Te 0.4421 0.5579 0.7500  2 Cu 2.57
Te 0.5579 0.4421 0.2500  2 Cu 2.57
S 0.0000 0.0000 0.0000  4 Ho 2.87
S 0.0000 0.0000 0.5000  4 Ho 2.87
S 0.2519 0.7481 0.1044  1 Cu 2.37
S 0.2519 0.7481 0.3956  1 Cu 2.37
S 0.7481 0.2519 0.6044  1 Cu 2.37
S 0.7481 0.2519 0.8956  1 Cu 2.37

***

Number 1: magnetization 0.001 μB/cell. Number 2: magnetization 0.001 μB/cell.